WS2NO: relaxed, PBE+U.

Cell: 3.9917 3.9917 3.8158 Å, 90.00 90.00 90.00°
Each line ends with the local moment (μB).
Positions (direct):
W 0.5000 0.5000 0.5000  0.08
O 0.0000 0.0000 0.0000  0.00
S 0.5000 0.0000 0.0000  -0.01
S 0.0000 0.5000 0.0000  -0.01
N 0.0000 0.0000 0.5000  0.09

Output
The uncorrected energy is -4.062 eV per atom. Its space-group type is P4/mmm. The volume comes out at 60.8 Å³/f.u. The calculated density is 7.59 g cm⁻³. The total magnetization comes out at 0.2 μB per cell.